## 1
Here is crystalline Be3TeC at its relaxed geometry from Alexandria. Energies are from PBE.

The calculation puts the calculated volume at 19.6 A^3/atom. For the mass density, the calculation gives 2.825 g/cm³.

The structure belongs to space group Pm-3m (No. 221); the cell edges are 4.6096, 4.6096 and 4.6096 Å and the angles 90.00°, 90.00° and 90.00°. The inequivalent atoms are Be at (0.0000, 0.0000, 0.5000), Te at (0.0000, 0.0000, 0.0000) and C at (0.5000, 0.5000, 0.5000).

***

## 2
Here is crystalline Be3TeC at its relaxed geometry from Alexandria. Energies are from PBE.

The calculation puts the calculated volume at 11.5 A^3/atom. For the mass density, the calculation gives 4.795 g/cm³.

The structure belongs to space group Pm-3m (No. 221); the cell edges are 3.8643, 3.8643 and 3.8643 Å and the angles 90.00°, 90.00° and 90.00°. The inequivalent atoms are Be at (0.0000, 0.0000, 0.5000), Te at (0.5000, 0.5000, 0.5000) and C at (0.0000, 0.0000, 0.0000).

***

Stability, highest: 2

***

## 1
Here is crystalline BeTeC3 at its relaxed geometry from Alexandria. Energies are from PBE.

The calculation puts the calculated volume at 10.8 A^3/atom. For the mass density, the calculation gives 5.317 g/cm³.

The structure belongs to space group Pm-3m (No. 221); the cell edges are 3.7778, 3.7778 and 3.7778 Å and the angles 90.00°, 90.00° and 90.00°. The inequivalent atoms are Be at (0.0000, 0.0000, 0.0000), Te at (0.5000, 0.5000, 0.5000) and C at (0.0000, 0.0000, 0.5000).

***

## 2
Here is crystalline BeTeC3 at its relaxed geometry from Alexandria. Energies are from PBE.

The calculation puts the calculated volume at 14.3 A^3/atom. For the mass density, the calculation gives 4.001 g/cm³.

The structure belongs to space group Pm-3m (No. 221); the cell edges are 4.1534, 4.1534 and 4.1534 Å and the angles 90.00°, 90.00° and 90.00°. The inequivalent atoms are Be at (0.0000, 0.0000, 0.0000), Te at (0.5000, 0.5000, 0.5000) and C at (0.0000, 0.5000, 0.5000).

***

Stability, highest: 1

***

## 1
Here is crystalline Be2TeC at its relaxed geometry from Alexandria. Energies are from PBE.

The calculation puts the calculated volume at 13.4 A^3/atom. For the mass density, the calculation gives 4.886 g/cm³.

The structure belongs to space group I-42d (No. 122); the cell edges are 4.4316, 4.4316 and 10.9110 Å and the angles 90.00°, 90.00° and 90.00°. The inequivalent atoms are Be at (0.0857, 0.2500, 0.1250), Te at (0.0000, 0.0000, 0.5000) and C at (0.0000, 0.0000, 0.0000).

***

## 2
Here is crystalline Be2TeC at its relaxed geometry from Alexandria. Energies are from PBE.

The calculation puts the calculated volume at 13.2 A^3/atom. For the mass density, the calculation gives 4.965 g/cm³.

The structure belongs to space group Fm-3m (No. 225); the cell edges are 5.9523, 5.9523 and 5.9523 Å and the angles 90.00°, 90.00° and 90.00°. The inequivalent atoms are Be at (0.2500, 0.2500, 0.2500), Te at (0.0000, 0.0000, 0.0000) and C at (0.0000, 0.0000, 0.5000).

***

Stability, highest: 1

***

## 1
Here is crystalline Ti2BeC at its relaxed geometry from Alexandria. Energies are from PBE.

The calculation puts the calculated volume at 12.1 A^3/atom. For the mass density, the calculation gives 3.996 g/cm³.

The structure belongs to space group R-3m (No. 166, hexagonal axes); the cell edges are 3.0583, 3.0583 and 17.9682 Å and the angles 90.00°, 90.00° and 120.00°. The inequivalent atoms are Ti at (0.0000, 0.0000, 0.2329), Be at (0.0000, 0.0000, 0.0000) and C at (0.0000, 0.0000, 0.5000).

***

## 2
Here is crystalline Ti2BeC at its relaxed geometry from Alexandria. Energies are from PBE.

The calculation puts the calculated volume at 11.6 A^3/atom. For the mass density, the calculation gives 4.166 g/cm³.

The structure belongs to space group Cmcm (No. 63); the cell edges are 3.1057, 18.6018 and 3.2223 Å and the angles 90.00°, 90.00° and 90.00°. The inequivalent atoms are Ti at (0.0000, 0.0810, 0.2500), Ti at (0.0000, 0.3050, 0.2500), Be at (0.0000, 0.4671, 0.2500) and C at (0.0000, 0.1918, 0.2500).

***

## 3
Here is crystalline Ti2BeC at its relaxed geometry from Alexandria. Energies are from PBE.

The calculation puts the calculated volume at 12.5 A^3/atom. For the mass density, the calculation gives 3.890 g/cm³.

The structure belongs to space group I-42d (No. 122); the cell edges are 6.0334, 6.0334 and 5.4770 Å and the angles 90.00°, 90.00° and 90.00°. The inequivalent atoms are Ti at (0.2066, 0.2500, 0.1250), Be at (0.0000, 0.0000, 0.5000) and C at (0.0000, 0.0000, 0.0000).

***

## 4
Here is crystalline Ti2BeC at its relaxed geometry from Alexandria. Energies are from PBE.

The calculation puts the calculated volume at 11.0 A^3/atom. For the mass density, the calculation gives 4.390 g/cm³.

The structure belongs to space group Fm-3m (No. 225); the cell edges are 5.6111, 5.6111 and 5.6111 Å and the angles 90.00°, 90.00° and 90.00°. The inequivalent atoms are Ti at (0.2500, 0.2500, 0.2500), Be at (0.0000, 0.0000, 0.0000) and C at (0.0000, 0.0000, 0.5000).

***

Stability, highest: 2

***

## 1
Here is crystalline Ti2BeZnC at its relaxed geometry from Alexandria. Energies are from PBE.

The calculation puts the calculated volume at 12.6 A^3/atom. For the mass density, the calculation gives 4.786 g/cm³.

The structure belongs to space group P2_1/m (No. 11); the cell edges are 6.5860, 3.0862 and 6.7375 Å and the angles 90.00°, 112.63° and 90.00°. The inequivalent atoms are Ti at (0.1110, 0.2500, 0.3873), Ti at (0.1907, 0.2500, 0.9948), Be at (0.4252, 0.7500, 0.3646), Zn at (0.3448, 0.7500, 0.7376) and C at (0.1502, 0.7500, 0.1934).

***

## 2
Here is crystalline Ti2BeZnC at its relaxed geometry from Alexandria. Energies are from PBE.

The calculation puts the calculated volume at 12.5 A^3/atom. For the mass density, the calculation gives 4.837 g/cm³.

The structure belongs to space group P4/mmm (No. 123); the cell edges are 4.2462, 4.2462 and 3.4682 Å and the angles 90.00°, 90.00° and 90.00°. The inequivalent atoms are Ti at (0.0000, 0.5000, 0.0000), Be at (0.0000, 0.0000, 0.5000), Zn at (0.5000, 0.5000, 0.5000) and C at (0.0000, 0.0000, 0.0000).

***

Stability, highest: 1

***

## 1
Here is crystalline BeTlC2 at its relaxed geometry from Alexandria. Energies are from PBE.

The calculation puts the calculated volume at 12.1 A^3/atom. For the mass density, the calculation gives 8.157 g/cm³.

The structure belongs to space group Fm-3m (No. 225); the cell edges are 5.7822, 5.7822 and 5.7822 Å and the angles 90.00°, 90.00° and 90.00°. The inequivalent atoms are Be at (0.0000, 0.0000, 0.0000), Tl at (0.0000, 0.0000, 0.5000) and C at (0.2500, 0.2500, 0.2500).

***

## 2
Here is crystalline BeTlC2 at its relaxed geometry from Alexandria. Energies are from PBE.

The calculation puts the calculated volume at 12.0 A^3/atom. For the mass density, the calculation gives 8.243 g/cm³.

The structure belongs to space group I-42d (No. 122); the cell edges are 4.0597, 4.0597 and 11.6083 Å and the angles 90.00°, 90.00° and 90.00°. The inequivalent atoms are Be at (0.0000, 0.0000, 0.0000), Tl at (0.0000, 0.0000, 0.5000) and C at (0.0891, 0.2500, 0.1250).

***

Stability, highest: 2

***

## 1
Here is crystalline BeTl2C at its relaxed geometry from Alexandria. Energies are from PBE.

The calculation puts the calculated volume at 18.5 A^3/atom. For the mass density, the calculation gives 9.632 g/cm³.

The structure belongs to space group Fm-3m (No. 225); the cell edges are 6.6674, 6.6674 and 6.6674 Å and the angles 90.00°, 90.00° and 90.00°. The inequivalent atoms are Be at (0.0000, 0.0000, 0.0000), Tl at (0.2500, 0.2500, 0.2500) and C at (0.0000, 0.0000, 0.5000).

***

## 2
Here is crystalline BeTl2C at its relaxed geometry from Alexandria. Energies are from PBE.

The calculation puts the calculated volume at 21.0 A^3/atom. For the mass density, the calculation gives 8.491 g/cm³.

The structure belongs to space group I-42d (No. 122); the cell edges are 6.0138, 6.0138 and 9.2962 Å and the angles 90.00°, 90.00° and 90.00°. The inequivalent atoms are Be at (0.0000, 0.0000, 0.0000), Tl at (0.2098, 0.2500, 0.6250) and C at (0.0000, 0.0000, 0.5000).

***

Stability, highest: 2

***

## 1
Here is crystalline U4Be2C5 at its relaxed geometry from Alexandria. Energies are from PBE.

The calculation puts the calculated volume at 12.9 A^3/atom. For the mass density, the calculation gives 12.094 g/cm³.

The structure belongs to space group C2/m (No. 12); the cell edges are 5.0648, 11.0392 and 5.0602 Å and the angles 90.00°, 90.93° and 90.00°. The inequivalent atoms are U at (0.2478, 0.1343, 0.2485), Be at (0.2443, 0.0000, 0.7554), C at (0.0000, 0.0000, 0.0000) and C at (0.2318, 0.3368, 0.2681).

***

## 2
Here is crystalline U4Be2C5 at its relaxed geometry from Alexandria. Energies are from PBE.

The calculation puts the calculated volume at 14.1 A^3/atom. For the mass density, the calculation gives 11.036 g/cm³.

The structure belongs to space group Cmmm (No. 65); the cell edges are 5.0257, 12.3472 and 4.9960 Å and the angles 90.00°, 90.00° and 90.00°. The inequivalent atoms are U at (0.0000, 0.1477, 0.0000), U at (0.0000, 0.3383, 0.5000), Be at (0.0000, 0.0000, 0.5000), Be at (0.0000, 0.5000, 0.0000), C at (0.0000, 0.1469, 0.5000), C at (0.0000, 0.3463, 0.0000) and C at (0.0000, 0.5000, 0.5000).

***

Stability, highest: 1

***

## 1
Here is crystalline BeV2C at its relaxed geometry from Alexandria. Energies are from PBE.

The calculation puts the calculated volume at 10.7 A^3/atom. For the mass density, the calculation gives 4.750 g/cm³.

The structure belongs to space group R-3m (No. 166, hexagonal axes); the cell edges are 2.8803, 2.8803 and 17.9412 Å and the angles 90.00°, 90.00° and 120.00°. The inequivalent atoms are Be at (0.0000, 0.0000, 0.0000), V at (0.0000, 0.0000, 0.2298) and C at (0.0000, 0.0000, 0.5000).

***

## 2
Here is crystalline BeV2C at its relaxed geometry from Alexandria. Energies are from PBE.

The calculation puts the calculated volume at 9.6 A^3/atom. For the mass density, the calculation gives 5.331 g/cm³.

The structure belongs to space group Fm-3m (No. 225); the cell edges are 5.3502, 5.3502 and 5.3502 Å and the angles 90.00°, 90.00° and 90.00°. The inequivalent atoms are Be at (0.0000, 0.0000, 0.0000), V at (0.2500, 0.2500, 0.2500) and C at (0.0000, 0.0000, 0.5000).

***

## 3
Here is crystalline BeV2C at its relaxed geometry from Alexandria. Energies are from PBE.

The calculation puts the calculated volume at 9.8 A^3/atom. For the mass density, the calculation gives 5.180 g/cm³.

The structure belongs to space group P4/mmm (No. 123); the cell edges are 2.6671, 2.6671 and 5.5383 Å and the angles 90.00°, 90.00° and 90.00°. The inequivalent atoms are Be at (0.0000, 0.0000, 0.0000), V at (0.5000, 0.5000, 0.2911) and C at (0.0000, 0.0000, 0.5000).

***

Stability, highest: 1

***

## 1
Here is crystalline BeWC3 at its relaxed geometry from Alexandria. Energies are from PBE.

The calculation puts the calculated volume at 8.5 A^3/atom. For the mass density, the calculation gives 8.911 g/cm³.

The structure belongs to space group Pm-3m (No. 221); the cell edges are 3.4940, 3.4940 and 3.4940 Å and the angles 90.00°, 90.00° and 90.00°. The inequivalent atoms are Be at (0.0000, 0.0000, 0.0000), W at (0.5000, 0.5000, 0.5000) and C at (0.0000, 0.0000, 0.5000).

***

## 2
Here is crystalline BeWC3 at its relaxed geometry from Alexandria. Energies are from PBE.

The calculation puts the calculated volume at 13.6 A^3/atom. For the mass density, the calculation gives 5.587 g/cm³.

The structure belongs to space group Pm-3m (No. 221); the cell edges are 4.0823, 4.0823 and 4.0823 Å and the angles 90.00°, 90.00° and 90.00°. The inequivalent atoms are Be at (0.0000, 0.0000, 0.0000), W at (0.5000, 0.5000, 0.5000) and C at (0.0000, 0.5000, 0.5000).

***

Stability, highest: 1

***

## 1
Here is crystalline Y2BeC at its relaxed geometry from Alexandria. Energies are from PBE.

The calculation puts the calculated volume at 17.1 A^3/atom. For the mass density, the calculation gives 4.841 g/cm³.

The structure belongs to space group Fm-3m (No. 225); the cell edges are 6.4859, 6.4859 and 6.4859 Å and the angles 90.00°, 90.00° and 90.00°. The inequivalent atoms are Y at (0.2500, 0.2500, 0.2500), Be at (0.0000, 0.0000, 0.0000) and C at (0.0000, 0.0000, 0.5000).

***

## 2
Here is crystalline Y2BeC at its relaxed geometry from Alexandria. Energies are from PBE.

The calculation puts the calculated volume at 23.4 A^3/atom. For the mass density, the calculation gives 3.527 g/cm³.

The structure belongs to space group R-3m (No. 166, hexagonal axes); the cell edges are 3.5402, 3.5402 and 25.8745 Å and the angles 90.00°, 90.00° and 120.00°. The inequivalent atoms are Y at (0.0000, 0.0000, 0.1151), Be at (0.0000, 0.0000, 0.0000) and C at (0.0000, 0.0000, 0.5000).

***

## 3
Here is crystalline Y2BeC at its relaxed geometry from Alexandria. Energies are from PBE.

The calculation puts the calculated volume at 21.0 A^3/atom. For the mass density, the calculation gives 3.923 g/cm³.

The structure belongs to space group I-42d (No. 122); the cell edges are 6.8074, 6.8074 and 7.2648 Å and the angles 90.00°, 90.00° and 90.00°. The inequivalent atoms are Y at (0.1921, 0.7500, 0.1250), Be at (0.0000, 0.0000, 0.5000) and C at (0.0000, 0.0000, 0.0000).

***

Stability, highest: 3